Ag3Se (PBE, optimized geometry); crystal system = cubic; density of states at the Fermi level = 2.51 states/eV/f.u.; formation energy without anion corrections = 0.099 eV/atom; total moment = 0.00 μB/cell; volume = 77 Å³/f.u.
1.0
4.779 0.000 0.000
2.389 4.139 0.000
2.389 1.380 3.902
Ag Se
3 1
Cartesian
2.389 1.380 0.975 Ag
0.000 0.000 0.000 Ag
4.779 2.759 1.951 Ag
7.168 4.139 2.926 Se

=====

AgSe2 (PBE, optimized geometry); crystal system = orthorhombic; density of states at the Fermi level = 0.99 states/eV/f.u.; formation energy without anion corrections = 0.172 eV/atom; total moment = 0.00 μB/cell; volume = 72 Å³/f.u.
1.0
3.308 -4.992 0.000
3.308 4.992 0.000
0.000 0.000 4.366
Se Ag
4 2
Cartesian
2.035 1.224 3.275 Se
2.035 -1.224 3.275 Se
4.581 -1.224 1.092 Se
4.581 1.224 1.092 Se
5.655 0.000 3.275 Ag
0.961 0.000 1.092 Ag

=====

Ag3Se (PBE, optimized geometry); crystal system = orthorhombic; density of states at the Fermi level = 1.36 states/eV/f.u.; formation energy without anion corrections = 0.112 eV/atom; total moment = 0.00 μB/cell; volume = 76 Å³/f.u.
1.0
2.900 -0.001 0.000
-0.022 2.900 0.000
0.000 0.000 9.084
Ag Se
3 1
Cartesian
0.000 0.000 4.683 Ag
1.439 1.450 6.813 Ag
0.000 0.000 8.943 Ag
1.439 1.450 2.271 Se

=====

AgSe7 (PBE, optimized geometry); crystal system = cubic; density of states at the Fermi level = 9.02 states/eV/f.u.; formation energy without anion corrections = 0.641 eV/atom; total moment = 0.00 μB/cell; volume = 166 Å³/f.u.
1.0
-0.963 2.274 5.652
-4.244 4.388 0.877
-5.222 -1.317 3.006
Se Ag
7 1
Cartesian
-2.603 3.331 3.264 Se
-3.092 0.478 4.329 Se
-2.611 -0.659 1.503 Se
-4.733 1.536 1.941 Se
-5.215 2.673 4.767 Se
-2.122 2.194 0.438 Se
-0.481 1.137 2.826 Se
0.000 0.000 0.000 Ag

=====

Si2AgSe4 (PBE, optimized geometry); crystal system = tetragonal; density of states at the Fermi level = 1.97 states/eV/f.u.; formation energy without anion corrections = -0.186 eV/atom; ΔE to the lowest computed polymorph = 0 meV per atom; total moment = 0.00 μB/cell; volume = 184 Å³/f.u.
1.0
5.501 0.000 0.000
0.000 5.501 0.000
0.000 0.000 6.097
Se Ag Si
4 1 2
Cartesian
1.463 1.463 1.673 Se
4.038 4.038 1.673 Se
4.038 1.463 4.424 Se
1.463 4.038 4.424 Se
0.000 0.000 0.000 Ag
2.750 0.000 3.048 Si
0.000 2.750 3.048 Si

=====

SiAg2Se (PBE, optimized geometry); crystal system = monoclinic; density of states at the Fermi level = 0.48 states/eV/f.u.; formation energy without anion corrections = 0.173 eV/atom; ΔE to the lowest computed polymorph = 32 meV per atom; total moment = 0.00 μB/cell; volume = 76 Å³/f.u.
1.0
-3.409 0.502 -0.258
-0.346 -2.694 -0.668
-0.838 -1.765 7.636
Ag Si Se
2 1 1
Cartesian
-2.072 -1.509 1.299 Ag
-0.826 -1.741 7.527 Ag
-2.515 -2.438 5.343 Si
-0.610 -2.264 3.661 Se

=====

Si2AgSe (PBE, optimized geometry); crystal system = trigonal; density of states at the Fermi level = 2.36 states/eV/f.u.; formation energy without anion corrections = 0.440 eV/atom; total moment = 0.01 μB/cell; volume = 77 Å³/f.u.
1.0
-3.475 8.393 -4.159
-3.924 6.526 -6.467
-5.984 6.750 -4.295
Si Ag Se
2 1 1
Cartesian
-3.331 5.394 -3.714 Si
-13.094 21.204 -14.601 Si
-6.828 11.057 -7.614 Ag
-10.202 16.520 -11.375 Se

=====

SiAgSe3 (PBE, optimized geometry); crystal system = cubic; density of states at the Fermi level = 3.47 states/eV/f.u.; formation energy without anion corrections = 0.822 eV/atom; ΔE to the lowest computed polymorph = 978 meV per atom; total moment = 0.00 μB/cell; volume = 128 Å³/f.u.
1.0
-2.050 3.226 3.281
-4.544 -0.850 -2.003
-0.729 -3.775 3.256
Si Se Ag
1 3 1
Cartesian
-3.662 -0.699 2.267 Si
-2.272 -0.425 -1.002 Se
-0.364 -1.887 1.628 Se
-1.025 1.613 1.641 Se
0.000 0.000 0.000 Ag